Entry from the Alexandria database: ScP2F after structural relaxation (PBE).

abc: 3.434 3.434 10.459
angles: 80.55 80.55 90.00
Sites, in units of the cell vectors:
Sc1 0.000 0.000 0.000
Sc2 0.750 0.250 0.500
P1 0.659 0.125 0.250
P2 0.091 0.625 0.250
P3 0.375 0.341 0.750
P4 0.875 0.909 0.750
F1 0.500 0.500 0.000
F2 0.250 0.750 0.500

Results
For the raw formation energy, the calculation gives -1.228 eV/atom. As for the energy above the lowest structure with this stoichiometry: 0.00 kcal/mol of atoms. For the calculated volume, the calculation gives 60 Å³/f.u. Its density of states at the Fermi level is 0.155 states/eV/atom.